First-principles (PBE) data for an optimized crystal structure of La2CrW, as listed in Alexandria via LeMat-Bulk.

Raw total energy   -7.181 eV per atom
Crystal system   monoclinic
Polymorph energy (0 for the lowest one)   0.531 eV per atom
Volume   95.0 Å³/cell
Energy of formation   0.9271 eV/atom

POSCAR file:
```
La2CrW
1.0
4.867 -1.536 0.000
4.867 1.536 0.000
-0.414 0.000 6.358
La Cr W
2 1 1
Direct
0.244 0.244 0.248
0.756 0.756 0.752
0.000 0.000 0.500
0.500 0.500 0.000
```